VSeO | GGA+U | relaxed

Calculated total energy in eV per atom: -6.38
D(E_F) in states/eV per cell: 0.92
M_tot in μB per cell: 1.7

Unit cell a=3.1697 b=3.1697 c=6.4573 alpha=90.00 beta=90.00 gamma=120.00
Last column: nearest neighbours and their distance in Å.
Sites, in units of the cell vectors:
V: 0.0000 0.0000 0.0000  3 O 1.97
Se: 0.3333 0.6667 0.6953  3 V 2.69
O: 0.6667 0.3333 0.1118  3 V 1.97